Entry 1:
In2Hg2Bi: optimized geometry, PBEsol.

Values from the calculation:
DFT formation energy = 5.2 kJ/mol of atoms
Density of states at the Fermi level = 4.47 states/eV per cell
Calculated volume = 26.79 A^3/atom
Offset from the most stable computed form = 0.0463 eV per atom

Cell lengths 4.197, 4.197, 15.207 Å; angles 90.00, 90.00, 90.00 degrees
Space group I4/mmm (No. 139)
Inequivalent atoms, fractional coordinates:
In: 0.000 0.000 0.099 (multiplicity 4)
Hg: 0.000 0.500 0.250 (multiplicity 4)
Bi: 0.000 0.000 0.500 (multiplicity 2)

Entry 2:
In2HgBi: optimized geometry, PBEsol.

Values from the calculation:
DFT formation energy = 2.8 kJ/mol of atoms
Density of states at the Fermi level = 8.33 states/eV per cell
Calculated volume = 27.03 A^3/atom
Offset from the most stable computed form = 0.0546 eV per atom

Cell lengths 8.293, 8.293, 6.289 Å; angles 90.00, 90.00, 90.00 degrees
Space group I-42d (No. 122)
Inequivalent atoms, fractional coordinates:
In: 0.240 0.750 0.125 (multiplicity 8)
Hg: 0.000 0.000 0.000 (multiplicity 4)
Bi: 0.000 0.000 0.500 (multiplicity 4)

Entry 3:
KHg2Bi2: optimized geometry, PBEsol.

Values from the calculation:
DFT formation energy = -13.1 kJ/mol of atoms
Density of states at the Fermi level = 4.44 states/eV per cell
Calculated volume = 33.36 A^3/atom

Cell lengths 5.528, 5.528, 10.915 Å; angles 90.00, 90.00, 90.00 degrees
Space group I4/mmm (No. 139)
Inequivalent atoms, fractional coordinates:
K: 0.000 0.000 0.000 (multiplicity 2)
Hg: 0.000 0.500 0.250 (multiplicity 4)
Bi: 0.000 0.000 0.361 (multiplicity 4)

Entry 4:
KLiHgBi2: optimized geometry, PBEsol.

Values from the calculation:
DFT formation energy = -11.1 kJ/mol of atoms
Density of states at the Fermi level = 2.96 states/eV per cell
Calculated volume = 29.05 A^3/atom

Cell lengths 5.184, 5.184, 5.407 Å; angles 90.00, 90.00, 90.00 degrees
Space group P4/mmm (No. 123)
Inequivalent atoms, fractional coordinates:
K: 0.000 0.000 0.000 (multiplicity 1)
Li: 0.500 0.500 0.500 (multiplicity 1)
Hg: 0.500 0.500 0.000 (multiplicity 1)
Bi: 0.000 0.500 0.500 (multiplicity 2)

Entry 5:
KMnHgBi2: optimized geometry, PBEsol.

Values from the calculation:
DFT formation energy = 8.2 kJ/mol of atoms
Density of states at the Fermi level = 2.65 states/eV per cell
Calculated volume = 29.09 A^3/atom

Cell lengths 5.251, 5.251, 5.275 Å; angles 90.00, 90.00, 90.00 degrees
Space group P4/mmm (No. 123)
Inequivalent atoms, fractional coordinates:
K: 0.000 0.000 0.000 (multiplicity 1)
Mn: 0.500 0.500 0.500 (multiplicity 1)
Hg: 0.500 0.500 0.000 (multiplicity 1)
Bi: 0.000 0.500 0.500 (multiplicity 2)

Entry 6:
La2HgBi2: optimized geometry, PBEsol.

Values from the calculation:
DFT formation energy = -72.2 kJ/mol of atoms
Density of states at the Fermi level = 1.02 states/eV per cell
Calculated volume = 31.93 A^3/atom
Offset from the most stable computed form = 0.0000 eV per atom

Cell lengths 8.658, 8.658, 4.259 Å; angles 90.00, 90.00, 90.00 degrees
Space group P4/mbm (No. 127)
Inequivalent atoms, fractional coordinates:
La: 0.145 0.355 0.000 (multiplicity 4)
Hg: 0.000 0.000 0.000 (multiplicity 2)
Bi: 0.160 0.660 0.500 (multiplicity 4)

Which of these has the lowest calculated volume? In2Hg2Bi

Look up the density of states at the Fermi level of the third one. 4.44 states/eV per cell

Repeat the fourth record exactly.
KLiHgBi2: optimized geometry, PBEsol.

Values from the calculation:
DFT formation energy = -11.1 kJ/mol of atoms
Density of states at the Fermi level = 2.96 states/eV per cell
Calculated volume = 29.05 A^3/atom

Cell lengths 5.184, 5.184, 5.407 Å; angles 90.00, 90.00, 90.00 degrees
Space group P4/mmm (No. 123)
Inequivalent atoms, fractional coordinates:
K: 0.000 0.000 0.000 (multiplicity 1)
Li: 0.500 0.500 0.500 (multiplicity 1)
Hg: 0.500 0.500 0.000 (multiplicity 1)
Bi: 0.000 0.500 0.500 (multiplicity 2)

What is the formula in the first record? In2Hg2Bi